Density functional theory data (GGA-PBE) for a relaxed structure of Nd12TlRu6.

Computed properties:
**Formation energy from the elements**: -180 meV/atom
**Space group**: Im-3 (204)

Unit cell a=8.818 b=8.818 c=8.818 alpha=109.47 beta=109.47 gamma=109.47
Positions (direct):
Ru1 0.879 0.379 0.500
Nd1 0.299 0.103 0.804
Nd2 0.804 0.701 0.505
Ru2 0.500 0.879 0.379
Nd3 0.103 0.804 0.299
Nd4 0.897 0.196 0.701
Nd5 0.701 0.505 0.804
Nd6 0.701 0.897 0.196
Tl1 0.000 0.000 0.000
Nd7 0.299 0.495 0.196
Nd8 0.196 0.701 0.897
Ru3 0.621 0.500 0.121
Ru4 0.500 0.121 0.621
Nd9 0.505 0.804 0.701
Nd10 0.495 0.196 0.299
Nd11 0.196 0.299 0.495
Ru5 0.379 0.500 0.879
Ru6 0.121 0.621 0.500
Nd12 0.804 0.299 0.103



Density functional theory data (GGA-PBE) for a relaxed structure of UTlPtSe4.

Computed properties:
**Uncorrected formation energy**: -0.612 eV/atom
**Space group**: P2_1/m (11)

Unit cell a=6.633 b=6.227 c=9.171 alpha=90.00 beta=105.05 gamma=90.00
Positions (direct):
Pt1 0.756 0.250 0.615
Se1 0.545 0.250 0.813
Se2 0.478 0.750 0.633
Se3 0.455 0.750 0.187
Tl1 0.243 0.250 0.031
Se4 0.971 0.483 0.291
U1 0.247 0.250 0.546
Se5 0.522 0.250 0.367
Tl2 0.757 0.750 0.969
Pt2 0.244 0.750 0.385
Se6 0.971 0.017 0.291
Se7 0.029 0.983 0.709
U2 0.753 0.750 0.454
Se8 0.029 0.517 0.709



Density functional theory data (GGA-PBE) for a relaxed structure of Sr2ReTc.

Computed properties:
**Formation energy from the elements**: 575 meV/atom
**Space group**: C2/m (12)

Unit cell a=9.422 b=9.422 c=3.695 alpha=78.95 beta=78.95 gamma=21.76
Positions (direct):
Re1 0.750 0.750 0.750
Sr1 0.896 0.896 0.108
Tc1 0.250 0.250 0.250
Sr2 0.604 0.604 0.392



Density functional theory data (GGA-PBE) for a relaxed structure of Pr4Al3Ag.

Computed properties:
**Formation energy from the elements**: -317 meV/atom
**Space group**: P4/mmm (123)

Unit cell a=3.700 b=3.700 c=15.580 alpha=90.00 beta=90.00 gamma=90.00
Positions (direct):
Al1 0.500 0.500 0.250
Pr1 0.000 0.000 0.870
Pr2 0.000 0.000 0.376
Pr3 0.000 0.000 0.624
Al2 0.500 0.500 0.750
Al3 0.500 0.500 0.500
Pr4 0.000 0.000 0.130
Ag1 0.500 0.500 0.000



Density functional theory data (GGA-PBE) for a relaxed structure of Ce4Tc.

Computed properties:
**Formation energy from the elements**: 180 meV/atom
**Space group**: Pm-3m (221)

Unit cell a=5.353 b=5.353 c=5.353 alpha=90.00 beta=90.00 gamma=90.00
Positions (direct):
Ce1 0.500 0.000 0.500
Ce2 0.000 0.500 0.500
Ce3 0.000 0.000 0.000
Tc1 0.500 0.500 0.500
Ce4 0.500 0.500 0.000



Density functional theory data (GGA-PBE) for a relaxed structure of LaTm2Pb.

Computed properties:
**Formation energy from the elements**: -272 meV/atom
**Space group**: P4/mmm (123)

Unit cell a=4.818 b=4.950 c=4.950 alpha=90.00 beta=90.00 gamma=90.00
Positions (direct):
Pb1 0.500 0.000 0.000
Tm1 0.000 0.500 0.000
Tm2 0.000 0.000 0.500
La1 0.500 0.500 0.500



Density functional theory data (GGA-PBE) for a relaxed structure of K2SbTe2.

Computed properties:
**Uncorrected formation energy**: -0.520 eV/atom
**Space group**: Ibam (72)

Unit cell a=9.070 b=7.167 c=9.204 alpha=112.91 beta=119.52 gamma=90.00
Positions (direct):
K1 0.860 0.682 0.720
K2 0.640 0.963 0.280
Te1 0.388 0.573 0.777
Te2 0.112 0.797 0.223
Te3 0.612 0.427 0.223
K3 0.360 0.037 0.720
Te4 0.888 0.203 0.777
K4 0.140 0.318 0.280
Sb1 0.750 0.500 0.000
Sb2 0.250 0.500 0.000



no.,spin magnetization (μB per atom)
1,0.000
2,0.014
3,0.000
4,0.000
5,0.637
6,0.001
7,0.000